Record 1
# PBEsol ZrTlSe2N, relaxed
# E_form (uncorrected): -0.323 eV/atom
# Energy: -5.91 eV per atom
data_ZrTlSe2N
_chemical_formula_sum 'Zr1 Tl1 Se2 N1'
_symmetry_space_group_name_H-M 'P 4/m m m'
_symmetry_Int_Tables_number 123
_symmetry_space_group_name_Hall '-P 4 2'
_cell_length_a 5.315
_cell_length_b 5.315
_cell_length_c 4.130
_cell_angle_alpha 90.00
_cell_angle_beta 90.00
_cell_angle_gamma 90.00
loop_
_atom_site_label
_atom_site_type_symbol
_atom_site_fract_x
_atom_site_fract_y
_atom_site_fract_z
_atom_site_occupancy
Zr1 Zr 0.000 0.000 0.000 1
Tl1 Tl 0.500 0.500 0.500 1
Se1 Se 0.000 0.500 0.000 1
N1 N 0.000 0.000 0.500 1

=====

Record 2
# PBEsol WSe3N, relaxed
# E_form (uncorrected): 1.210 eV/atom
# Energy: -5.57 eV per atom
data_WSe3N
_chemical_formula_sum 'W1 Se3 N1'
_symmetry_space_group_name_H-M 'P m -3 m'
_symmetry_Int_Tables_number 221
_symmetry_space_group_name_Hall '-P 4 2 3'
_cell_length_a 4.876
_cell_length_b 4.876
_cell_length_c 4.876
_cell_angle_alpha 90.00
_cell_angle_beta 90.00
_cell_angle_gamma 90.00
loop_
_atom_site_label
_atom_site_type_symbol
_atom_site_fract_x
_atom_site_fract_y
_atom_site_fract_z
_atom_site_occupancy
W1 W 0.000 0.000 0.000 1
Se1 Se 0.000 0.000 0.500 1
N1 N 0.500 0.500 0.500 1

=====

Record 3
# PBEsol YWSe2N, relaxed
# E_form (uncorrected): -0.574 eV/atom
# Energy: -7.95 eV per atom
data_YWSe2N
_chemical_formula_sum 'Y1 W1 Se2 N1'
_symmetry_space_group_name_H-M 'P 4/m m m'
_symmetry_Int_Tables_number 123
_symmetry_space_group_name_Hall '-P 4 2'
_cell_length_a 5.035
_cell_length_b 5.035
_cell_length_c 3.803
_cell_angle_alpha 90.00
_cell_angle_beta 90.00
_cell_angle_gamma 90.00
loop_
_atom_site_label
_atom_site_type_symbol
_atom_site_fract_x
_atom_site_fract_y
_atom_site_fract_z
_atom_site_occupancy
Y1 Y 0.000 0.000 0.000 1
W1 W 0.500 0.500 0.500 1
Se1 Se 0.000 0.500 0.500 1
N1 N 0.500 0.500 0.000 1

=====

Record 4
# PBEsol ZnWSeN2, relaxed
# E_form (uncorrected): 0.214 eV/atom
# Energy: -7.04 eV per atom
data_ZnWSeN2
_chemical_formula_sum 'Zn1 W1 Se1 N2'
_symmetry_space_group_name_H-M 'P 4/m m m'
_symmetry_Int_Tables_number 123
_symmetry_space_group_name_Hall '-P 4 2'
_cell_length_a 3.855
_cell_length_b 3.855
_cell_length_c 5.259
_cell_angle_alpha 90.00
_cell_angle_beta 90.00
_cell_angle_gamma 90.00
loop_
_atom_site_label
_atom_site_type_symbol
_atom_site_fract_x
_atom_site_fract_y
_atom_site_fract_z
_atom_site_occupancy
Zn1 Zn 0.000 0.000 0.000 1
W1 W 0.500 0.500 0.500 1
Se1 Se 0.500 0.500 0.000 1
N1 N 0.000 0.500 0.500 1

=====

Record 5
# PBEsol ZrWSeN2, relaxed
# E_form (uncorrected): -0.058 eV/atom
# ΔE to the lowest computed polymorph: 0.0 meV/atom
# Energy: -8.82 eV per atom
data_ZrWSeN2
_chemical_formula_sum 'Zr1 W1 Se1 N2'
_symmetry_space_group_name_H-M 'P 4/m m m'
_symmetry_Int_Tables_number 123
_symmetry_space_group_name_Hall '-P 4 2'
_cell_length_a 3.912
_cell_length_b 3.912
_cell_length_c 4.958
_cell_angle_alpha 90.00
_cell_angle_beta 90.00
_cell_angle_gamma 90.00
loop_
_atom_site_label
_atom_site_type_symbol
_atom_site_fract_x
_atom_site_fract_y
_atom_site_fract_z
_atom_site_occupancy
Zr1 Zr 0.000 0.000 0.000 1
W1 W 0.500 0.500 0.500 1
Se1 Se 0.500 0.500 0.000 1
N1 N 0.000 0.500 0.500 1

=====

Record 6
# PBEsol ZrWSeN2, relaxed
# E_form (uncorrected): 1.034 eV/atom
# ΔE to the lowest computed polymorph: 1091.8 meV/atom
# Energy: -7.73 eV per atom
data_ZrWSeN2
_chemical_formula_sum 'Zr1 W1 Se1 N2'
_symmetry_space_group_name_H-M 'P 4/m m m'
_symmetry_Int_Tables_number 123
_symmetry_space_group_name_Hall '-P 4 2'
_cell_length_a 4.061
_cell_length_b 4.061
_cell_length_c 5.269
_cell_angle_alpha 90.00
_cell_angle_beta 90.00
_cell_angle_gamma 90.00
loop_
_atom_site_label
_atom_site_type_symbol
_atom_site_fract_x
_atom_site_fract_y
_atom_site_fract_z
_atom_site_occupancy
Zr1 Zr 0.000 0.000 0.000 1
W1 W 0.500 0.500 0.500 1
Se1 Se 0.000 0.000 0.500 1
N1 N 0.000 0.500 0.000 1

=====

Record 7
# PBEsol ZrWSe2N, relaxed
# E_form (uncorrected): -0.029 eV/atom
# Energy: -7.85 eV per atom
data_ZrWSe2N
_chemical_formula_sum 'Zr1 W1 Se2 N1'
_symmetry_space_group_name_H-M 'P 4/m m m'
_symmetry_Int_Tables_number 123
_symmetry_space_group_name_Hall '-P 4 2'
_cell_length_a 4.992
_cell_length_b 4.992
_cell_length_c 3.748
_cell_angle_alpha 90.00
_cell_angle_beta 90.00
_cell_angle_gamma 90.00
loop_
_atom_site_label
_atom_site_type_symbol
_atom_site_fract_x
_atom_site_fract_y
_atom_site_fract_z
_atom_site_occupancy
Zr1 Zr 0.000 0.000 0.000 1
W1 W 0.500 0.500 0.500 1
Se1 Se 0.000 0.500 0.500 1
N1 N 0.500 0.500 0.000 1

=====

Record 8
# PBEsol ZnSe3N, relaxed
# E_form (uncorrected): 0.746 eV/atom
# Energy: -3.59 eV per atom
data_ZnSe3N
_chemical_formula_sum 'Zn1 Se3 N1'
_symmetry_space_group_name_H-M 'P m -3 m'
_symmetry_Int_Tables_number 221
_symmetry_space_group_name_Hall '-P 4 2 3'
_cell_length_a 4.341
_cell_length_b 4.341
_cell_length_c 4.341
_cell_angle_alpha 90.00
_cell_angle_beta 90.00
_cell_angle_gamma 90.00
loop_
_atom_site_label
_atom_site_type_symbol
_atom_site_fract_x
_atom_site_fract_y
_atom_site_fract_z
_atom_site_occupancy
Zn1 Zn 0.000 0.000 0.000 1
Se1 Se 0.000 0.500 0.500 1
N1 N 0.500 0.500 0.500 1

=====

Record 9
# PBEsol Zr2SeN2, relaxed
# E_form (uncorrected): -1.757 eV/atom
# Energy: -9.57 eV per atom
data_Zr2SeN2
_chemical_formula_sum 'Zr2 Se1 N2'
_symmetry_space_group_name_H-M 'P -3 m 1'
_symmetry_Int_Tables_number 164
_symmetry_space_group_name_Hall '-P 3 2"'
_cell_length_a 3.6234
_cell_length_b 3.6234
_cell_length_c 6.6004
_cell_angle_alpha 90.00
_cell_angle_beta 90.00
_cell_angle_gamma 120.00
loop_
_atom_site_label
_atom_site_type_symbol
_atom_site_fract_x
_atom_site_fract_y
_atom_site_fract_z
_atom_site_occupancy
Zr1 Zr 0.3333 0.6667 0.1963 1
Se1 Se 0.0000 0.0000 0.5000 1
N1 N 0.3333 0.6667 0.8682 1

=====

Record 10
# PBEsol ZrSe2N2, relaxed
# E_form (uncorrected): 1.098 eV/atom
# Energy: -5.67 eV per atom
data_ZrSe2N2
_chemical_formula_sum 'Zr1 Se2 N2'
_symmetry_space_group_name_H-M 'P 4/m m m'
_symmetry_Int_Tables_number 123
_symmetry_space_group_name_Hall '-P 4 2'
_cell_length_a 5.209
_cell_length_b 5.209
_cell_length_c 4.134
_cell_angle_alpha 90.00
_cell_angle_beta 90.00
_cell_angle_gamma 90.00
loop_
_atom_site_label
_atom_site_type_symbol
_atom_site_fract_x
_atom_site_fract_y
_atom_site_fract_z
_atom_site_occupancy
Zr1 Zr 0.000 0.000 0.000 1
Se1 Se 0.000 0.500 0.000 1
N1 N 0.000 0.000 0.500 1
N2 N 0.500 0.500 0.500 1

=====

Record 11
# PBEsol Zr2SeN2, relaxed
# E_form (uncorrected): -1.772 eV/atom
# Energy: -9.59 eV per atom
data_Zr2SeN2
_chemical_formula_sum 'Zr4 Se2 N4'
_symmetry_space_group_name_H-M 'P 63/m m c'
_symmetry_Int_Tables_number 194
_symmetry_space_group_name_Hall '-P 6c 2c'
_cell_length_a 3.6283
_cell_length_b 3.6283
_cell_length_c 13.1277
_cell_angle_alpha 90.00
_cell_angle_beta 90.00
_cell_angle_gamma 120.00
loop_
_atom_site_label
_atom_site_type_symbol
_atom_site_fract_x
_atom_site_fract_y
_atom_site_fract_z
_atom_site_occupancy
Zr1 Zr 0.3333 0.6667 0.0986 1
Se1 Se 0.0000 0.0000 0.2500 1
N1 N 0.3333 0.6667 0.5665 1

=====

Record 12
# PBEsol Sm3Si6N11, relaxed
# E_form (uncorrected): -1.472 eV/atom
# Energy: -8.65 eV per atom
data_Sm3Si6N11
_chemical_formula_sum 'Sm6 Si12 N22'
_symmetry_space_group_name_H-M 'P 4 b m'
_symmetry_Int_Tables_number 100
_cell_length_a 9.993
_cell_length_b 9.993
_cell_length_c 4.850
_cell_angle_alpha 90.00
_cell_angle_beta 90.00
_cell_angle_gamma 90.00
loop_
_symmetry_equiv_pos_as_xyz
'x,y,z'
'-y,x,z'
'-x,-y,z'
'y,-x,z'
'-x+1/2,y+1/2,z'
'y+1/2,x+1/2,z'
'x+1/2,-y+1/2,z'
'-y+1/2,-x+1/2,z'
loop_
_atom_site_label
_atom_site_type_symbol
_atom_site_fract_x
_atom_site_fract_y
_atom_site_fract_z
_atom_site_occupancy
Sm1 Sm 0.000 0.000 0.000 1
Sm2 Sm 0.182 0.318 0.016 1
Si1 Si 0.080 0.792 0.551 1
Si2 Si 0.118 0.618 0.062 1
N1 N 0.000 0.500 0.096 1
N2 N 0.078 0.775 0.195 1
N3 N 0.080 0.181 0.670 1
N4 N 0.153 0.653 0.715 1

=====

Record 13
# PBEsol SiSnN2, relaxed
# E_form (uncorrected): -0.607 eV/atom
# Energy: -7.37 eV per atom
data_SiSnN2
_chemical_formula_sum 'Si4 Sn4 N8'
_symmetry_space_group_name_H-M 'I m a 2'
_symmetry_Int_Tables_number 46
_cell_length_a 5.469
_cell_length_b 7.459
_cell_length_c 4.920
_cell_angle_alpha 90.00
_cell_angle_beta 90.00
_cell_angle_gamma 90.00
loop_
_symmetry_equiv_pos_as_xyz
'x,y,z'
'-x,-y,z'
'-x+1/2,y,z'
'x+1/2,-y,z'
'x+1/2,y+1/2,z+1/2'
'-x+1/2,-y+1/2,z+1/2'
'-x,y+1/2,z+1/2'
'x,-y+1/2,z+1/2'
loop_
_atom_site_label
_atom_site_type_symbol
_atom_site_fract_x
_atom_site_fract_y
_atom_site_fract_z
_atom_site_occupancy
Si1 Si 0.250 0.130 0.000 1
Sn1 Sn 0.250 0.622 0.050 1
N1 N 0.000 0.000 0.874 1
N2 N 0.250 0.157 0.349 1

=====

Record 14
# PBEsol SiSnN3, relaxed
# E_form (uncorrected): 0.392 eV/atom
# Energy: -6.72 eV per atom
data_SiSnN3
_chemical_formula_sum 'Si1 Sn1 N3'
_symmetry_space_group_name_H-M 'P m -3 m'
_symmetry_Int_Tables_number 221
_symmetry_space_group_name_Hall '-P 4 2 3'
_cell_length_a 3.669
_cell_length_b 3.669
_cell_length_c 3.669
_cell_angle_alpha 90.00
_cell_angle_beta 90.00
_cell_angle_gamma 90.00
loop_
_atom_site_label
_atom_site_type_symbol
_atom_site_fract_x
_atom_site_fract_y
_atom_site_fract_z
_atom_site_occupancy
Si1 Si 0.000 0.000 0.000 1
Sn1 Sn 0.500 0.500 0.500 1
N1 N 0.000 0.000 0.500 1

=====

Record 15
# PBEsol YSiSnN2, relaxed
# E_form (uncorrected): 0.826 eV/atom
# Energy: -5.95 eV per atom
data_YSiSnN2
_chemical_formula_sum 'Y1 Si1 Sn1 N2'
_symmetry_space_group_name_H-M 'P 4/m m m'
_symmetry_Int_Tables_number 123
_symmetry_space_group_name_Hall '-P 4 2'
_cell_length_a 3.954
_cell_length_b 3.954
_cell_length_c 5.312
_cell_angle_alpha 90.00
_cell_angle_beta 90.00
_cell_angle_gamma 90.00
loop_
_atom_site_label
_atom_site_type_symbol
_atom_site_fract_x
_atom_site_fract_y
_atom_site_fract_z
_atom_site_occupancy
Y1 Y 0.000 0.000 0.000 1
Si1 Si 0.000 0.000 0.500 1
Sn1 Sn 0.500 0.500 0.000 1
N1 N 0.000 0.500 0.500 1

=====

Record 16
# PBEsol SrSi3N, relaxed
# E_form (uncorrected): 2.735 eV/atom
# Energy: -2.79 eV per atom
data_SrSi3N
_chemical_formula_sum 'Sr1 Si3 N1'
_symmetry_space_group_name_H-M 'P m -3 m'
_symmetry_Int_Tables_number 221
_symmetry_space_group_name_Hall '-P 4 2 3'
_cell_length_a 5.628
_cell_length_b 5.628
_cell_length_c 5.628
_cell_angle_alpha 90.00
_cell_angle_beta 90.00
_cell_angle_gamma 90.00
loop_
_atom_site_label
_atom_site_type_symbol
_atom_site_fract_x
_atom_site_fract_y
_atom_site_fract_z
_atom_site_occupancy
Sr1 Sr 0.000 0.000 0.000 1
Si1 Si 0.000 0.000 0.500 1
N1 N 0.500 0.500 0.500 1

=====

Record 17
# PBEsol SrSi7N10, relaxed
# E_form (uncorrected): -1.277 eV/atom
# Energy: -8.35 eV per atom
data_SrSi7N10
_chemical_formula_sum 'Sr2 Si14 N20'
_symmetry_space_group_name_H-M 'P 1 c 1'
_symmetry_Int_Tables_number 7
_cell_length_a 6.839
_cell_length_b 6.757
_cell_length_c 9.633
_cell_angle_alpha 90.00
_cell_angle_beta 106.19
_cell_angle_gamma 90.00
loop_
_symmetry_equiv_pos_as_xyz
'x,y,z'
'x,-y,z+1/2'
loop_
_atom_site_label
_atom_site_type_symbol
_atom_site_fract_x
_atom_site_fract_y
_atom_site_fract_z
_atom_site_occupancy
Sr1 Sr 0.000 0.042 0.000 1
Si1 Si 0.092 0.376 0.347 1
Si2 Si 0.276 0.365 0.664 1
Si3 Si 0.404 0.026 0.330 1
Si4 Si 0.458 0.371 0.969 1
Si5 Si 0.590 0.027 0.642 1
Si6 Si 0.646 0.380 0.273 1
Si7 Si 0.832 0.395 0.583 1
N1 N 0.054 0.380 0.523 1
N2 N 0.194 0.155 0.327 1
N3 N 0.237 0.415 0.832 1
N4 N 0.374 0.131 0.680 1
N5 N 0.443 0.461 0.133 1
N6 N 0.495 0.118 0.986 1
N7 N 0.625 0.129 0.294 1
N8 N 0.655 0.498 0.432 1
N9 N 0.788 0.165 0.636 1
N10 N 0.862 0.421 0.218 1

=====

Record 18
# PBEsol SrSiTeN2, relaxed
# E_form (uncorrected): 0.374 eV/atom
# Energy: -5.26 eV per atom
data_SrSiTeN2
_chemical_formula_sum 'Sr1 Si1 Te1 N2'
_symmetry_space_group_name_H-M 'P 4/m m m'
_symmetry_Int_Tables_number 123
_symmetry_space_group_name_Hall '-P 4 2'
_cell_length_a 4.060
_cell_length_b 4.060
_cell_length_c 5.279
_cell_angle_alpha 90.00
_cell_angle_beta 90.00
_cell_angle_gamma 90.00
loop_
_atom_site_label
_atom_site_type_symbol
_atom_site_fract_x
_atom_site_fract_y
_atom_site_fract_z
_atom_site_occupancy
Sr1 Sr 0.000 0.000 0.000 1
Si1 Si 0.500 0.500 0.500 1
Te1 Te 0.500 0.500 0.000 1
N1 N 0.000 0.500 0.500 1

=====

Record 19
# PBEsol SrYSi4N7, relaxed
# E_form (uncorrected): -1.429 eV/atom
# Energy: -8.45 eV per atom
data_SrYSi4N7
_chemical_formula_sum 'Sr2 Y2 Si8 N14'
_symmetry_space_group_name_H-M 'P 63 m c'
_symmetry_Int_Tables_number 186
_symmetry_space_group_name_Hall 'P 6c -2c'
_cell_length_a 6.0066
_cell_length_b 6.0066
_cell_length_c 9.8104
_cell_angle_alpha 90.00
_cell_angle_beta 90.00
_cell_angle_gamma 120.00
loop_
_atom_site_label
_atom_site_type_symbol
_atom_site_fract_x
_atom_site_fract_y
_atom_site_fract_z
_atom_site_occupancy
Sr1 Sr 0.3333 0.6667 0.0000 1
Y1 Y 0.3333 0.6667 0.6307 1
Si1 Si 0.0000 0.0000 0.0551 1
Si2 Si 0.1735 0.3470 0.3213 1
N1 N 0.0000 0.0000 0.2456 1
N2 N 0.0215 0.5108 0.2688 1
N3 N 0.1537 0.3073 0.4948 1

=====

Record 20
# PBEsol TaSiN3, relaxed
# E_form (uncorrected): -0.197 eV/atom
# Energy: -8.97 eV per atom
data_TaSiN3
_chemical_formula_sum 'Ta1 Si1 N3'
_symmetry_space_group_name_H-M 'P m -3 m'
_symmetry_Int_Tables_number 221
_symmetry_space_group_name_Hall '-P 4 2 3'
_cell_length_a 3.539
_cell_length_b 3.539
_cell_length_c 3.539
_cell_angle_alpha 90.00
_cell_angle_beta 90.00
_cell_angle_gamma 90.00
loop_
_atom_site_label
_atom_site_type_symbol
_atom_site_fract_x
_atom_site_fract_y
_atom_site_fract_z
_atom_site_occupancy
Ta1 Ta 0.000 0.000 0.000 1
Si1 Si 0.500 0.500 0.500 1
N1 N 0.000 0.500 0.500 1